The following is a PBE-GGA calculation of crystalline Pu3BiB at its relaxed geometry, from the Alexandria database.

Cell: 5.008 5.008 5.008 Å, 90.00 90.00 90.00°
Space group Pm-3m (No. 221)
Asymmetric unit:
1 Pu 0.000 0.000 0.500
2 Bi 0.500 0.500 0.500
3 B 0.000 0.000 0.000

ΔE_f: -6.3 kJ per mole of atoms